[1]
KAg4Pd3F12: relaxed, PBE-GGA.

The value obtained for the raw formation energy is -1.3154 eV/atom.

It has space group Im-3 (No. 204), with a = 8.649 Å, b = 8.649 Å, c = 8.649 Å, α = 90.00°, β = 90.00° and γ = 90.00°. The distinct sites, in fractional coordinates, are K at (0.000, 0.000, 0.000), Ag at (0.250, 0.250, 0.250), Pd at (0.000, 0.000, 0.500) and F at (0.000, 0.327, 0.156).

---

[2]
Be2OsPt: relaxed, PBE-GGA.

The formation enthalpy at 0 K is -0.261 eV per atom.

It has space group P4mm (No. 99), with a = 2.801 Å, b = 2.801 Å, c = 5.806 Å, α = 90.00°, β = 90.00° and γ = 90.00°. The distinct sites, in fractional coordinates, are Be at (0.000, 0.000, 0.000), Be at (0.500, 0.500, 0.190), Os at (0.000, 0.000, 0.412) and Pt at (0.500, 0.500, 0.768).

---

Repeat the second record exactly.
Be2OsPt: relaxed, PBE-GGA.

The formation enthalpy at 0 K is -0.261 eV per atom.

It has space group P4mm (No. 99), with a = 2.801 Å, b = 2.801 Å, c = 5.806 Å, α = 90.00°, β = 90.00° and γ = 90.00°. The distinct sites, in fractional coordinates, are Be at (0.000, 0.000, 0.000), Be at (0.500, 0.500, 0.190), Os at (0.000, 0.000, 0.412) and Pt at (0.500, 0.500, 0.768).